Entry from Alexandria: an optimized crystal structure of LaZr2In (PBE).

a b c (Å): 3.316 3.316 9.512
angles (deg): 90.00 90.00 90.00
Fractional coordinates of all 4 atoms:
La: 0.000 0.000 0.000
Zr: 0.000 0.000 0.512
Zr: 0.500 0.500 0.289
In: 0.500 0.500 0.736

Space-group type: P4mm
E_form, eV/atom: -0.114
ρ, g cm⁻³: 6.9
N(E_F), states/eV per atom: 1.088
Electronic total energy, eV per atom: -6.30
Crystal system: tetragonal